Entry 1:
Compound: CdSiMoBr
Source: the Alexandria database
Functional: PBE
Structure: relaxed

- energy (eV per cell) = -18.5
- raw formation energy (eV/atom) = 0.090
- total magnetization (μB/cell) = 0.00

Cell lengths 3.3664, 3.0805, 8.1746 Å; angles 90.00, 100.75, 90.00 degrees
Last column: nearest neighbours and their distance in Å.
Atoms (fractional coordinates):
Cd: 0.0000 0.0000 0.0000  4 Mo 2.99-3.00, 2 Br 3.05-3.16, 1 Si 3.05, 2 Cd 3.08
Si: 0.8254 0.0000 0.6197  1 Br 2.37, 4 Mo 2.54
Mo: 0.3879 0.5000 0.7588  4 Si 2.54
Br: 0.6784 0.0000 0.3251  1 Si 2.37


Entry 2:
Compound: Cd4MoW
Source: the Alexandria database
Functional: PBE
Structure: relaxed

- E_form (eV per atom) = 0.808
- energy (eV per cell) = -22.6
- total magnetization (μB/cell) = 0.28

Cell lengths 5.4301, 5.4301, 5.4301 Å; angles 60.00, 60.00, 60.00 degrees
Last column: nearest neighbours and their distance in Å.
Atoms (fractional coordinates):
Cd: 0.1251 0.1251 0.1251  6 Cd 2.71-2.72
Cd: 0.1251 0.1251 0.6248  6 Cd 2.71-2.72
Cd: 0.1251 0.6248 0.1251  6 Cd 2.71-2.72
Cd: 0.6248 0.1251 0.1251  6 Cd 2.71-2.72
Mo: 0.7500 0.7500 0.7500  12 Cd 3.18, 4 W 3.33
W: 0.5000 0.5000 0.5000  12 Cd 3.18, 4 Mo 3.33


Entry 3:
Compound: Ag2AsSe2
Source: the Alexandria database
Functional: PBE
Structure: relaxed

- energy (eV per cell) = -69.6
- raw formation energy (eV/atom) = -0.016
- total magnetization (μB/cell) = 0.00

Cell lengths 9.5092, 6.4615, 7.8031 Å; angles 90.00, 99.34, 90.00 degrees
Last column: nearest neighbours and their distance in Å.
Atoms (fractional coordinates):
Ag: 0.0327 0.2122 0.4247  2 Se 2.65, 1 As 2.66
Ag: 0.0327 0.2878 0.9247  2 Se 2.65, 1 As 2.66
Ag: 0.4043 0.7144 0.0220  4 Se 2.66-2.85, 1 As 2.73
Ag: 0.4043 0.7856 0.5220  4 Se 2.66-2.85, 1 As 2.73
Ag: 0.5957 0.2144 0.4780  4 Se 2.66-2.85, 1 As 2.73
Ag: 0.5957 0.2856 0.9780  4 Se 2.66-2.85, 1 As 2.73
Ag: 0.9673 0.7122 0.0753  2 Se 2.65, 1 As 2.66
Ag: 0.9673 0.7878 0.5753  2 Se 2.65, 1 As 2.66
As: 0.2551 0.0641 0.0708  2 Se 2.42-2.47, 1 Ag 2.66
As: 0.2551 0.4359 0.5708  2 Se 2.42-2.47, 1 Ag 2.66
As: 0.7449 0.5641 0.4292  2 Se 2.42-2.47, 1 Ag 2.66
As: 0.7449 0.9359 0.9292  2 Se 2.42-2.47, 1 Ag 2.66
Se: 0.1623 0.6117 0.8110  1 As 2.47, 3 Ag 2.65-2.69
Se: 0.1623 0.8883 0.3110  1 As 2.47, 3 Ag 2.65-2.69
Se: 0.4004 0.1603 0.7146  1 As 2.42, 1 Ag 2.66
Se: 0.4004 0.3397 0.2146  1 As 2.42, 1 Ag 2.66
Se: 0.5996 0.6603 0.7854  1 As 2.42, 1 Ag 2.66
Se: 0.5996 0.8397 0.2854  1 As 2.42, 1 Ag 2.66
Se: 0.8377 0.1117 0.6890  1 As 2.47, 3 Ag 2.65-2.69
Se: 0.8377 0.3883 0.1890  1 As 2.47, 3 Ag 2.65-2.69


Entry 4:
Compound: Hf3FeCu
Source: the Alexandria database
Functional: PBE
Structure: relaxed

- E_form (eV per atom) = -0.137
- energy (eV per cell) = -86.2
- total magnetization (μB/cell) = 0.00

Cell lengths 5.2447, 5.2447, 8.4241 Å; angles 115.35, 115.35, 65.12 degrees
Last column: nearest neighbours and their distance in Å.
Atoms (fractional coordinates):
Hf: 0.0546 0.0546 0.2748  2 Fe 2.55, 2 Cu 2.74
Hf: 0.2922 0.2922 0.7168  2 Fe 2.56, 2 Cu 2.82
Hf: 0.3026 0.3026 0.1094  4 Fe 2.74, 2 Cu 3.06
Hf: 0.6974 0.6974 0.8906  4 Fe 2.74, 2 Cu 3.06
Hf: 0.7078 0.7078 0.2832  2 Fe 2.56, 2 Cu 2.82
Hf: 0.9454 0.9454 0.7252  2 Fe 2.55, 2 Cu 2.74
Fe: 0.2522 0.7478 0.0000  8 Hf 2.55-2.74, 2 Fe 2.80-2.85
Fe: 0.7478 0.2522 0.0000  8 Hf 2.55-2.74, 2 Fe 2.80-2.85
Cu: 0.2944 0.7056 0.5000  1 Cu 2.32
Cu: 0.7056 0.2944 0.5000  1 Cu 2.32


Entry 5:
Compound: LaSm5In4
Source: the Alexandria database
Functional: PBE
Structure: relaxed

- E_form (eV per atom) = -0.388
- energy (eV per cell) = -43.4
- total magnetization (μB/cell) = 0.00

Cell lengths 3.6139, 3.6139, 22.5684 Å; angles 90.00, 90.00, 90.00 degrees
Last column: nearest neighbours and their distance in Å.
Atoms (fractional coordinates):
La: 0.0000 0.0000 0.0000  4 La 3.61, 8 Sm 3.71
Sm: 0.5000 0.5000 0.1193  4 In 3.32, 4 Sm 3.61, 4 La 3.71
Sm: 0.5000 0.5000 0.3094  8 In 3.34-3.36, 4 Sm 3.61
Sm: 0.5000 0.5000 0.5000  8 In 3.34, 4 Sm 3.61
Sm: 0.5000 0.5000 0.6906  8 In 3.34-3.36, 4 Sm 3.61
Sm: 0.5000 0.5000 0.8807  4 In 3.32, 4 Sm 3.61, 4 La 3.71
In: 0.0000 0.0000 0.2130  8 Sm 3.32-3.36, 4 In 3.61
In: 0.0000 0.0000 0.4046  8 Sm 3.34, 4 In 3.61
In: 0.0000 0.0000 0.5954  8 Sm 3.34, 4 In 3.61
In: 0.0000 0.0000 0.7870  8 Sm 3.32-3.36, 4 In 3.61


Entry 6:
Compound: MnAgSe2
Source: the Alexandria database
Functional: PBE
Structure: relaxed

- energy (eV per cell) = -17.3
- raw formation energy (eV/atom) = 0.425
- total magnetization (μB/cell) = 0.00

Cell lengths 4.5494, 4.5494, 4.5494 Å; angles 60.00, 60.00, 60.00 degrees
Last column: nearest neighbours and their distance in Å.
Atoms (fractional coordinates):
Mn: 0.0000 0.0000 0.0000  8 Se 2.79
Ag: 0.5000 0.5000 0.5000  8 Se 2.79
Se: 0.2500 0.2500 0.2500  4 Mn 2.79, 4 Ag 2.79
Se: 0.7500 0.7500 0.7500  4 Mn 2.79, 4 Ag 2.79


Entry 7:
Compound: Sn5Se5Br
Source: the Alexandria database
Functional: PBE
Structure: relaxed

- energy (eV per cell) = -43.5
- raw formation energy (eV/atom) = -0.396
- total magnetization (μB/cell) = 0.00

Cell lengths 7.3000, 7.3000, 8.6737 Å; angles 106.97, 106.97, 48.29 degrees
Last column: nearest neighbours and their distance in Å.
Atoms (fractional coordinates):
Sn: 0.0000 0.0000 0.0000  2 Br 2.99, 4 Se 2.99-3.00
Sn: 0.3221 0.3221 0.1799  5 Se 2.81-3.02
Sn: 0.3332 0.3332 0.6363  4 Se 2.83-3.00
Sn: 0.6668 0.6668 0.3637  4 Se 2.83-3.00
Sn: 0.6779 0.6779 0.8201  5 Se 2.81-3.02
Se: 0.1644 0.1644 0.3306  5 Sn 2.81-3.00
Se: 0.1730 0.1730 0.8500  5 Sn 2.91-3.24
Se: 0.5000 0.5000 0.5000  4 Sn 2.83-3.02
Se: 0.8270 0.8270 0.1500  5 Sn 2.91-3.24
Se: 0.8356 0.8356 0.6694  5 Sn 2.81-3.00
Br: 0.5000 0.5000 0.0000  6 Sn 2.99-3.23


Entry 8:
Compound: Ce6Bi2SbTe3
Source: the Alexandria database
Functional: PBE
Structure: relaxed

- energy (eV per cell) = -70.5
- raw formation energy (eV/atom) = -1.129
- total magnetization (μB/cell) = 6.59

Cell lengths 10.1151, 10.1151, 9.0251 Å; angles 102.11, 102.11, 26.06 degrees
Last column: nearest neighbours and their distance in Å.
Atoms (fractional coordinates):
Ce: 0.0014 0.0014 0.2543  2 Sb 3.18, 3 Te 3.20-3.23, 1 Bi 3.23
Ce: 0.3343 0.3343 0.9141  3 Te 3.19, 3 Bi 3.22-3.23
Ce: 0.3351 0.3351 0.4199  1 Sb 3.17, 3 Te 3.19-3.22, 2 Bi 3.23
Ce: 0.6649 0.6649 0.5801  1 Sb 3.17, 3 Te 3.19-3.22, 2 Bi 3.23
Ce: 0.6657 0.6657 0.0859  3 Te 3.19, 3 Bi 3.22-3.23
Ce: 0.9986 0.9986 0.7457  2 Sb 3.18, 3 Te 3.20-3.23, 1 Bi 3.23
Bi: 0.1664 0.1664 0.8336  6 Ce 3.22-3.23
Bi: 0.8336 0.8336 0.1664  6 Ce 3.22-3.23
Sb: 0.5000 0.5000 0.5000  6 Ce 3.17-3.18
Te: 0.1677 0.1677 0.3341  6 Ce 3.19-3.22
Te: 0.5000 0.5000 0.0000  6 Ce 3.19-3.23
Te: 0.8323 0.8323 0.6659  6 Ce 3.19-3.22


Entry 9:
Compound: LaMg2In
Source: the Alexandria database
Functional: PBE
Structure: relaxed

- E_form (eV per atom) = -0.263
- energy (eV per cell) = -11.9
- total magnetization (μB/cell) = 0.00

Cell lengths 4.6985, 4.6985, 4.9597 Å; angles 90.00, 90.00, 90.00 degrees
Last column: nearest neighbours and their distance in Å.
Atoms (fractional coordinates):
La: 0.0000 0.0000 0.0000  4 In 3.32, 8 Mg 3.42
Mg: 0.0000 0.5000 0.5000  4 Mg 3.32, 4 In 3.42, 4 La 3.42
Mg: 0.5000 0.0000 0.5000  4 Mg 3.32, 4 In 3.42, 4 La 3.42
In: 0.5000 0.5000 0.0000  4 La 3.32, 8 Mg 3.42


Entry 10:
Compound: Ce4P2Cl3
Source: the Alexandria database
Functional: PBE
Structure: relaxed

- energy (eV per cell) = -52.7
- raw formation energy (eV/atom) = -1.405
- total magnetization (μB/cell) = 5.56

Cell lengths 5.6170, 5.6170, 10.2990 Å; angles 91.51, 91.51, 43.32 degrees
Last column: nearest neighbours and their distance in Å.
Atoms (fractional coordinates):
Ce: 0.0951 0.0951 0.1469  2 P 2.84, 3 Cl 3.01-3.15
Ce: 0.3656 0.3656 0.3794  3 Cl 2.78-3.03, 2 P 2.92
Ce: 0.6344 0.6344 0.6206  3 Cl 2.78-3.03, 2 P 2.92
Ce: 0.9049 0.9049 0.8531  2 P 2.84, 3 Cl 3.01-3.15
P: 0.3239 0.3239 0.6812  5 Ce 2.84-3.15
P: 0.6761 0.6761 0.3188  5 Ce 2.84-3.15
Cl: 0.0000 0.0000 0.5000  4 Ce 2.78
Cl: 0.3747 0.3747 0.0852  6 Ce 3.01-3.19, 1 Cl 3.19
Cl: 0.6253 0.6253 0.9148  6 Ce 3.01-3.19, 1 Cl 3.19


Entry 11:
Compound: Th2Ni21B6
Source: the Alexandria database
Functional: PBE
Structure: relaxed

- E_form (eV per atom) = -0.334
- energy (eV per cell) = -186.0
- total magnetization (μB/cell) = 0.00

Cell lengths 7.6205, 7.6205, 7.6205 Å; angles 60.00, 60.00, 60.00 degrees
Last column: nearest neighbours and their distance in Å.
Atoms (fractional coordinates):
Th: 0.2500 0.2500 0.2500  4 Ni 2.59
Th: 0.7500 0.7500 0.7500  4 Ni 2.59
Ni: 0.0000 0.0000 0.0000  12 Ni 2.56
Ni: 0.0000 0.0000 0.3363  2 B 2.11
Ni: 0.0000 0.0000 0.6637  2 B 2.11
Ni: 0.0000 0.3363 0.0000  2 B 2.11
Ni: 0.0000 0.3363 0.6637  2 B 2.11
Ni: 0.0000 0.6637 0.0000  2 B 2.11
Ni: 0.0000 0.6637 0.3363  2 B 2.11
Ni: 0.1660 0.6113 0.6113  3 B 2.14
Ni: 0.3363 0.0000 0.0000  2 B 2.11
Ni: 0.3363 0.0000 0.6637  2 B 2.11
Ni: 0.3363 0.6637 0.0000  2 B 2.11
Ni: 0.3887 0.3887 0.3887  3 B 2.14
Ni: 0.3887 0.3887 0.8340  3 B 2.14
Ni: 0.3887 0.8340 0.3887  3 B 2.14
Ni: 0.6113 0.1660 0.6113  3 B 2.14
Ni: 0.6113 0.6113 0.1660  3 B 2.14
Ni: 0.6113 0.6113 0.6113  3 B 2.14
Ni: 0.6637 0.0000 0.0000  2 B 2.11
Ni: 0.6637 0.0000 0.3363  2 B 2.11
Ni: 0.6637 0.3363 0.0000  2 B 2.11
Ni: 0.8340 0.3887 0.3887  3 B 2.14
B: 0.2683 0.2683 0.7317  8 Ni 2.11-2.14
B: 0.2683 0.7317 0.2683  8 Ni 2.11-2.14
B: 0.2683 0.7317 0.7317  8 Ni 2.11-2.14
B: 0.7317 0.2683 0.2683  8 Ni 2.11-2.14
B: 0.7317 0.2683 0.7317  8 Ni 2.11-2.14
B: 0.7317 0.7317 0.2683  8 Ni 2.11-2.14


Entry 12:
Compound: CrBiP
Source: the Alexandria database
Functional: PBE
Structure: relaxed

- E_form (eV per atom) = 0.197
- energy (eV per cell) = -18.3
- total magnetization (μB/cell) = 0.00

Cell lengths 4.1808, 4.1808, 5.6929 Å; angles 120.82, 120.82, 48.15 degrees
Last column: nearest neighbours and their distance in Å.
Atoms (fractional coordinates):
Cr: 0.0000 0.0000 0.0000  3 P 2.27-2.32
Bi: 0.7513 0.7513 0.4375  3 Cr 2.65-2.73, 1 P 2.96
P: 0.2945 0.2945 0.9786  3 Cr 2.27-2.32